The following is a DFT calculation (PBE) of a geometry-optimized Cs2RbBr structure.

```
data_Cs2RbBr
_space_group_name_H-M_alt 'I -4 2 d'
_space_group_IT_number 122
_space_group_name_Hall 'I -4 2bw'
_cell_length_a 11.0594
_cell_length_b 11.0594
_cell_length_c 11.6570
_cell_angle_alpha 90.00
_cell_angle_beta 90.00
_cell_angle_gamma 90.00
loop_
_atom_site_label
_atom_site_fract_x
_atom_site_fract_y
_atom_site_fract_z
_atom_site_occupancy
Cs1 0.1418 0.7500 0.1250 1
Rb1 0.0000 0.0000 0.5000 1
Br1 0.0000 0.0000 0.0000 1
```

V: 89.111 Å³ per atom
energy relative to the elements, uncorrected: -303 kJ/mol of formula units

The following is a DFT calculation (PBE) of a geometry-optimized CsRb4Br5 structure.

```
data_CsRb4Br5
_space_group_name_H-M_alt 'I m m m'
_space_group_IT_number 71
_space_group_name_Hall '-I 2 2'
_cell_length_a 4.9942
_cell_length_b 7.0847
_cell_length_c 25.0296
_cell_angle_alpha 90.00
_cell_angle_beta 90.00
_cell_angle_gamma 90.00
loop_
_atom_site_label
_atom_site_fract_x
_atom_site_fract_y
_atom_site_fract_z
_atom_site_occupancy
Cs1 0.0000 0.0000 0.0000 1
Rb1 0.0000 0.0000 0.2025 1
Rb2 0.0000 0.0000 0.3986 1
Br1 0.0000 0.5000 0.0000 1
Br2 0.0000 0.5000 0.1993 1
Br3 0.0000 0.5000 0.3945 1
```

V: 44.281 Å³ per atom
energy relative to the elements, uncorrected: -1691 kJ/mol of formula units

The following is a DFT calculation (PBE) of a geometry-optimized CsRb3Br structure.

```
data_CsRb3Br
_space_group_name_H-M_alt 'P m -3 m'
_space_group_IT_number 221
_space_group_name_Hall '-P 4 2 3'
_cell_length_a 8.5251
_cell_length_b 8.5251
_cell_length_c 8.5251
_cell_angle_alpha 90.00
_cell_angle_beta 90.00
_cell_angle_gamma 90.00
loop_
_atom_site_label
_atom_site_fract_x
_atom_site_fract_y
_atom_site_fract_z
_atom_site_occupancy
Cs1 0.0000 0.0000 0.0000 1
Rb1 0.0000 0.0000 0.5000 1
Br1 0.5000 0.5000 0.5000 1
```

V: 123.916 Å³ per atom
energy relative to the elements, uncorrected: -9 kJ/mol of formula units